Here is an optimized crystal structure of La5Dy2In4 from Alexandria via LeMat-Bulk. Energies are from PBE.

The structure in extended XYZ format:
```
11
Lattice="5.750 0.000 0.000 0.000 9.501 0.000 -2.875 -4.751 6.597" Properties=species:S:1:pos:R:3 pbc="T T T"
La 0.000 6.441 3.328
La 2.875 1.691 3.269
La 2.875 0.000 0.000
La 2.875 -1.691 3.269
La 0.000 3.060 3.328
In 0.000 0.000 5.130
In 2.875 4.751 1.467
In 0.000 2.501 0.000
In 0.000 7.000 0.000
Dy 0.000 0.000 2.054
Dy 2.875 4.751 4.543
```

Results
E_form in kcal/mol of atoms: -0.2
Total energy in eV/f.u.: -44.9
Total magnetization in μB/f.u.: 0.000
E above lowest polymorph in meV per atom: 317



Here is an optimized crystal structure of TeAs2 from Alexandria via LeMat-Bulk. Energies are from PBE.

The structure in extended XYZ format:
```
6
Lattice="1.044 -6.475 -1.690 4.158 -5.324 -0.498 -1.149 -3.563 6.441" Properties=species:S:1:pos:R:3 pbc="T T T"
As 3.675 -14.160 4.080
As 0.378 -1.202 0.172
As 1.489 -4.291 0.257
As 2.564 -11.071 3.996
Te 2.532 -9.067 2.145
Te 1.521 -6.294 2.108
```

Results
Formation energy without anion corrections in meV/atom: 106
Total energy in eV/f.u.: -12.1
Total magnetization in μB/f.u.: 0.000



Please write out number 2 again, unchanged.
Here is an optimized crystal structure of TeAs2 from Alexandria via LeMat-Bulk. Energies are from PBE.

The structure in extended XYZ format:
```
6
Lattice="1.044 -6.475 -1.690 4.158 -5.324 -0.498 -1.149 -3.563 6.441" Properties=species:S:1:pos:R:3 pbc="T T T"
As 3.675 -14.160 4.080
As 0.378 -1.202 0.172
As 1.489 -4.291 0.257
As 2.564 -11.071 3.996
Te 2.532 -9.067 2.145
Te 1.521 -6.294 2.108
```

Results
Formation energy without anion corrections in meV/atom: 106
Total energy in eV/f.u.: -12.1
Total magnetization in μB/f.u.: 0.000



Copy entry 1 word for word.
Here is an optimized crystal structure of La5Dy2In4 from Alexandria via LeMat-Bulk. Energies are from PBE.

The structure in extended XYZ format:
```
11
Lattice="5.750 0.000 0.000 0.000 9.501 0.000 -2.875 -4.751 6.597" Properties=species:S:1:pos:R:3 pbc="T T T"
La 0.000 6.441 3.328
La 2.875 1.691 3.269
La 2.875 0.000 0.000
La 2.875 -1.691 3.269
La 0.000 3.060 3.328
In 0.000 0.000 5.130
In 2.875 4.751 1.467
In 0.000 2.501 0.000
In 0.000 7.000 0.000
Dy 0.000 0.000 2.054
Dy 2.875 4.751 4.543
```

Results
E_form in kcal/mol of atoms: -0.2
Total energy in eV/f.u.: -44.9
Total magnetization in μB/f.u.: 0.000
E above lowest polymorph in meV per atom: 317



- What is the total magnetization in the first record?
  0.000 μB/f.u.